Entry 1:
The following is a DFT calculation (PBE) of crystalline ErAgGe2S6 at its relaxed geometry.

a b c (Å): 12.751 11.677 6.651
angles (deg): 90.00 108.25 90.00
Space group C2/c (No. 15)
Symmetry-distinct sites (fractional):
Er 0.000 0.125 0.250 (multiplicity 4)
Ag 0.000 0.255 0.750 (multiplicity 4)
Ge 0.199 0.425 0.254 (multiplicity 8)
S 0.116 0.065 0.649 (multiplicity 8)
S 0.128 0.431 0.525 (multiplicity 8)
S 0.139 0.254 0.114 (multiplicity 8)

Output
Its crystal system is monoclinic. The total magnetization comes out at 0.00 μB/cell. The raw formation energy comes out at -0.668 eV per atom.

Entry 2:
The following is a DFT calculation (PBE) of crystalline ErAgGeS4 at its relaxed geometry.

a b c (Å): 7.391 7.905 10.709
angles (deg): 90.00 90.00 90.00
Space group Imma (No. 74)
Symmetry-distinct sites (fractional):
Er 0.000 0.000 0.000 (multiplicity 4)
Ag 0.250 0.250 0.250 (multiplicity 4)
Ge 0.000 0.250 0.641 (multiplicity 4)
S 0.000 0.004 0.747 (multiplicity 8)
S 0.246 0.250 0.504 (multiplicity 8)

Output
Its crystal system is orthorhombic. The total magnetization comes out at 0.00 μB/cell. Its density of states at the Fermi level is 0.21 states/eV per atom. The raw formation energy comes out at -0.777 eV per atom.

Entry 3:
The following is a DFT calculation (PBE) of crystalline Er2Ag3GeS6 at its relaxed geometry.

a b c (Å): 17.146 3.885 7.548
angles (deg): 90.00 101.35 90.00
Space group C2/m (No. 12)
Symmetry-distinct sites (fractional):
Er 0.164 0.000 0.331 (multiplicity 4)
Ag 0.000 0.500 0.500 (multiplicity 2)
Ag 0.177 0.000 0.838 (multiplicity 4)
Ge 0.000 0.500 0.000 (multiplicity 2)
S 0.001 0.000 0.243 (multiplicity 4)
S 0.156 0.500 0.079 (multiplicity 4)
S 0.173 0.500 0.584 (multiplicity 4)

Output
Its crystal system is monoclinic. The total magnetization comes out at 0.00 μB/cell. Its density of states at the Fermi level is 0.22 states/eV per atom. The raw formation energy comes out at -0.874 eV per atom.

Entry 4:
The following is a DFT calculation (PBE) of crystalline Er3Ag3GeS8 at its relaxed geometry.

a b c (Å): 13.337 7.803 7.753
angles (deg): 90.00 124.76 90.00
Space group C2/m (No. 12)
Symmetry-distinct sites (fractional):
Er 0.000 0.000 0.000 (multiplicity 2)
Er 0.250 0.250 0.500 (multiplicity 4)
Ag 0.000 0.500 0.500 (multiplicity 2)
Ag 0.250 0.250 0.000 (multiplicity 4)
Ge 0.000 0.500 0.000 (multiplicity 2)
S 0.000 0.272 0.225 (multiplicity 8)
S 0.227 0.500 0.230 (multiplicity 4)
S 0.244 0.000 0.257 (multiplicity 4)

Output
Its crystal system is monoclinic. The total magnetization comes out at 0.00 μB/cell. Its density of states at the Fermi level is 0.09 states/eV per atom. The raw formation energy comes out at -1.032 eV per atom.

Entry 5:
The following is a DFT calculation (PBE) of crystalline ErScAgGe at its relaxed geometry.

a b c (Å): 6.959 6.959 6.959
angles (deg): 90.00 90.00 90.00
Space group F-43m (No. 216)
Symmetry-distinct sites (fractional):
Er 0.000 0.000 0.000 (multiplicity 4)
Sc 0.000 0.000 0.500 (multiplicity 4)
Ag 0.250 0.250 0.750 (multiplicity 4)
Ge 0.250 0.250 0.250 (multiplicity 4)

Output
Its crystal system is cubic. The total magnetization comes out at 2.12 μB/cell. Its density of states at the Fermi level is 0.90 states/eV per atom. Its calculated formation energy is -504 meV per atom.

Entry 6:
The following is a DFT calculation (PBE) of crystalline ErAg2GeSe4 at its relaxed geometry.

a b c (Å): 8.665 7.589 6.994
angles (deg): 90.00 90.00 90.00
Space group Pmn2_1 (No. 31)
Symmetry-distinct sites (fractional):
Er 0.000 0.168 0.000 (multiplicity 2)
Ag 0.243 0.302 0.539 (multiplicity 4)
Ge 0.000 0.818 0.514 (multiplicity 2)
Se 0.000 0.136 0.390 (multiplicity 2)
Se 0.000 0.828 0.877 (multiplicity 2)
Se 0.238 0.646 0.411 (multiplicity 4)

Output
Its crystal system is orthorhombic. The total magnetization comes out at 0.00 μB/cell. Its density of states at the Fermi level is 0.50 states/eV per atom. The raw formation energy comes out at -0.570 eV per atom.

Entry 7:
The following is a DFT calculation (PBE) of crystalline ErAg2GeTe4 at its relaxed geometry.

a b c (Å): 7.212 4.290 7.536
angles (deg): 90.00 109.34 90.00
Space group P2/m (No. 10)
Symmetry-distinct sites (fractional):
Er 0.000 0.000 0.000 (multiplicity 1)
Ag 0.500 0.000 0.500 (multiplicity 1)
Ag 0.500 0.500 0.000 (multiplicity 1)
Ge 0.000 0.500 0.500 (multiplicity 1)
Te 0.251 0.000 0.742 (multiplicity 2)
Te 0.251 0.500 0.256 (multiplicity 2)

Output
Its crystal system is monoclinic. The total magnetization comes out at 0.00 μB/cell. Its density of states at the Fermi level is 0.69 states/eV per atom. The raw formation energy comes out at -0.405 eV per atom.

Entry 8:
The following is a DFT calculation (PBE) of crystalline ErAgGe2Te4 at its relaxed geometry.

a b c (Å): 7.394 4.294 7.541
angles (deg): 90.00 109.83 90.00
Space group P2/m (No. 10)
Symmetry-distinct sites (fractional):
Er 0.000 0.000 0.000 (multiplicity 1)
Ag 0.500 0.500 0.000 (multiplicity 1)
Ge 0.000 0.500 0.500 (multiplicity 1)
Ge 0.500 0.000 0.500 (multiplicity 1)
Te 0.249 0.500 0.260 (multiplicity 2)
Te 0.250 0.000 0.748 (multiplicity 2)

Output
Its crystal system is monoclinic. The total magnetization comes out at 0.00 μB/cell. Its density of states at the Fermi level is 0.00 states/eV per atom. The raw formation energy comes out at -0.415 eV per atom.

Entry 9:
The following is a DFT calculation (PBE) of crystalline ErThAgGe at its relaxed geometry.

a b c (Å): 7.288 7.288 7.288
angles (deg): 90.00 90.00 90.00
Space group F-43m (No. 216)
Symmetry-distinct sites (fractional):
Er 0.000 0.000 0.000 (multiplicity 4)
Th 0.000 0.000 0.500 (multiplicity 4)
Ag 0.250 0.250 0.250 (multiplicity 4)
Ge 0.250 0.250 0.750 (multiplicity 4)

Output
Its crystal system is cubic. The total magnetization comes out at 0.01 μB/cell. Its density of states at the Fermi level is 0.98 states/eV per atom. Its calculated formation energy is -381 meV per atom.

Entry 10:
The following is a DFT calculation (PBE) of crystalline ErTmAgGe at its relaxed geometry.

a b c (Å): 7.106 7.106 7.106
angles (deg): 90.00 90.00 90.00
Space group F-43m (No. 216)
Symmetry-distinct sites (fractional):
Er 0.000 0.000 0.000 (multiplicity 4)
Tm 0.000 0.000 0.500 (multiplicity 4)
Ag 0.250 0.250 0.750 (multiplicity 4)
Ge 0.250 0.250 0.250 (multiplicity 4)

Output
Its crystal system is cubic. The total magnetization comes out at 0.00 μB/cell. Its density of states at the Fermi level is 0.78 states/eV per atom. Its calculated formation energy is -513 meV per atom.

Entry 11:
The following is a DFT calculation (PBE) of crystalline ErZnAgGe at its relaxed geometry.

a b c (Å): 6.769 6.769 6.769
angles (deg): 90.00 90.00 90.00
Space group F-43m (No. 216)
Symmetry-distinct sites (fractional):
Er 0.000 0.000 0.000 (multiplicity 4)
Zn 0.250 0.250 0.250 (multiplicity 4)
Ag 0.000 0.000 0.500 (multiplicity 4)
Ge 0.250 0.250 0.750 (multiplicity 4)

Output
Its crystal system is cubic. The total magnetization comes out at 0.00 μB/cell. Its density of states at the Fermi level is 0.16 states/eV per atom. Its calculated formation energy is -300 meV per atom.

Entry 12:
The following is a DFT calculation (PBE) of crystalline Er2AgH at its relaxed geometry.

a b c (Å): 3.5929 3.5929 21.6947
angles (deg): 90.00 90.00 120.00
Space group R-3m (No. 166, hexagonal axes)
Symmetry-distinct sites (fractional):
Er 0.0000 0.0000 0.2288 (multiplicity 6)
Ag 0.0000 0.0000 0.0000 (multiplicity 3)
H 0.0000 0.0000 0.5000 (multiplicity 3)

Output
As for the total energy: -48.19 eV for the cell shown. Its crystal system is trigonal. The total magnetization comes out at 0.00 μB/cell. Its density of states at the Fermi level is 1.01 states/eV per atom.